## NdInAu (PBE)

Data for crystalline NdInAu at its relaxed geometry.

```
data_NdInAu
_chemical_formula_sum 'Nd2 In2 Au2'
_space_group_name_H-M_alt 'I 4 m m'
_space_group_IT_number 107
_space_group_name_Hall 'I 4 -2'
_cell_length_a 3.5650
_cell_length_b 3.5650
_cell_length_c 11.7128
_cell_angle_alpha 90.00
_cell_angle_beta 90.00
_cell_angle_gamma 90.00
loop_
_atom_site_label
_atom_site_type_symbol
_atom_site_fract_x
_atom_site_fract_y
_atom_site_fract_z
Nd1 Nd 0.0000 0.0000 0.0000
In1 In 0.0000 0.0000 0.6964
Au1 Au 0.0000 0.0000 0.3364
```

Its total energy is -24.7 eV/cell.

=====

## Li4Ac3Pb4 (PBE)

Data for crystalline Li4Ac3Pb4 at its relaxed geometry.

```
data_Li4Ac3Pb4
_chemical_formula_sum 'Li4 Ac3 Pb4'
_space_group_name_H-M_alt 'P -1'
_space_group_IT_number 2
_cell_length_a 4.6869
_cell_length_b 4.8366
_cell_length_c 14.3422
_cell_angle_alpha 80.35
_cell_angle_beta 80.60
_cell_angle_gamma 90.00
loop_
_space_group_symop_operation_xyz
'x,y,z'
'-x,-y,-z'
loop_
_atom_site_label
_atom_site_type_symbol
_atom_site_fract_x
_atom_site_fract_y
_atom_site_fract_z
Li1 Li 0.0983 0.0989 0.3025
Li2 Li 0.2499 0.7490 0.0009
Ac1 Ac 0.3446 0.3448 0.8100
Ac2 Ac 0.5000 0.0000 0.5000
Pb1 Pb 0.0567 0.5555 0.3898
Pb2 Pb 0.1953 0.1954 0.1090
```

For the energy relative to the lowest polymorph listed for this composition, the calculation gives 0.074 eV per atom.

=====

## InGaIr (PBE)

Data for crystalline InGaIr at its relaxed geometry.

```
data_InGaIr
_chemical_formula_sum 'In4 Ga4 Ir4'
_space_group_name_H-M_alt 'C 1 m 1'
_space_group_IT_number 8
_cell_length_a 6.2001
_cell_length_b 13.3319
_cell_length_c 2.9506
_cell_angle_alpha 90.00
_cell_angle_beta 90.01
_cell_angle_gamma 90.00
loop_
_space_group_symop_operation_xyz
'x,y,z'
'x,-y,z'
'x+1/2,y+1/2,z'
'x+1/2,-y+1/2,z'
loop_
_atom_site_label
_atom_site_type_symbol
_atom_site_fract_x
_atom_site_fract_y
_atom_site_fract_z
In1 In 0.0000 0.0000 0.0000
In2 In 0.0368 0.5000 0.4810
Ga1 Ga 0.4721 0.2462 0.0013
Ir1 Ir 0.2163 0.1516 0.5009
```

Its total energy is -61.2 eV/cell.

=====

## NdZr2TaN4 (PBE)

Data for crystalline NdZr2TaN4 at its relaxed geometry.

```
data_NdZr2TaN4
_chemical_formula_sum 'Nd4 Zr8 Ta4 N16'
_space_group_name_H-M_alt 'C m c m'
_space_group_IT_number 63
_space_group_name_Hall '-C 2c 2'
_cell_length_a 3.2836
_cell_length_b 11.7511
_cell_length_c 11.6288
_cell_angle_alpha 90.00
_cell_angle_beta 90.00
_cell_angle_gamma 90.00
loop_
_atom_site_label
_atom_site_type_symbol
_atom_site_fract_x
_atom_site_fract_y
_atom_site_fract_z
Nd1 Nd 0.0000 0.1100 0.2500
Zr1 Zr 0.0000 0.3701 0.0319
Ta1 Ta 0.0000 0.1530 0.7500
N1 N 0.0000 0.0000 0.0000
N2 N 0.0000 0.2603 0.6165
N3 N 0.0000 0.4542 0.2500
```

The formation energy without anion corrections is -1240 meV per atom.

=====

## NaCa4Ac (PBE)

Data for crystalline NaCa4Ac at its relaxed geometry.

```
data_NaCa4Ac
_chemical_formula_sum 'Na4 Ca16 Ac4'
_space_group_name_H-M_alt 'F -4 3 m'
_space_group_IT_number 216
_space_group_name_Hall 'F -4 2 3'
_cell_length_a 10.2481
_cell_length_b 10.2481
_cell_length_c 10.2481
_cell_angle_alpha 90.00
_cell_angle_beta 90.00
_cell_angle_gamma 90.00
loop_
_atom_site_label
_atom_site_type_symbol
_atom_site_fract_x
_atom_site_fract_y
_atom_site_fract_z
Na1 Na 0.0000 0.0000 0.0000
Ca1 Ca 0.1243 0.1243 0.6243
Ac1 Ac 0.2500 0.2500 0.2500
```

For the energy relative to the lowest polymorph listed for this composition, the calculation gives 0.145 eV per atom.

=====

## Ba2HgMo (PBE)

Data for crystalline Ba2HgMo at its relaxed geometry.

```
data_Ba2HgMo
_chemical_formula_sum 'Ba2 Hg1 Mo1'
_space_group_name_H-M_alt 'P 4/m m m'
_space_group_IT_number 123
_space_group_name_Hall '-P 4 2'
_cell_length_a 3.9708
_cell_length_b 3.9708
_cell_length_c 8.7005
_cell_angle_alpha 90.00
_cell_angle_beta 90.00
_cell_angle_gamma 90.00
loop_
_atom_site_label
_atom_site_type_symbol
_atom_site_fract_x
_atom_site_fract_y
_atom_site_fract_z
Ba1 Ba 0.0000 0.0000 0.2384
Hg1 Hg 0.5000 0.5000 0.5000
Mo1 Mo 0.5000 0.5000 0.0000
```

Its total energy is -12.8 eV/cell.

=====

Respective volume values: 24.810, 28.736, 20.324, 14.022, 44.845, 34.295 Å³ per atom.